This record from Alexandria describes Hg3Au after structural relaxation. The functional is PBE-GGA.

Output
Formation enthalpy at 0 K, eV per formula unit: 0.22
Spin magnetization, μB per cell: 0.00
V, A^3/atom: 24.6
Total DFT energy (no corrections), eV/atom: -0.99

Geometry as CIF:
```
data_Hg3Au
_chemical_formula_sum 'Hg6 Au2'
_symmetry_space_group_name_H-M 'I m m m'
_symmetry_Int_Tables_number 71
_symmetry_space_group_name_Hall '-I 2 2'
_cell_length_a 2.9537
_cell_length_b 5.0691
_cell_length_c 13.1570
_cell_angle_alpha 90.00
_cell_angle_beta 90.00
_cell_angle_gamma 90.00
loop_
_atom_site_label
_atom_site_type_symbol
_atom_site_fract_x
_atom_site_fract_y
_atom_site_fract_z
_atom_site_occupancy
Hg1 Hg 0.0000 0.0000 0.0000 1
Hg2 Hg 0.0000 0.5000 0.2038 1
Au1 Au 0.0000 0.0000 0.5000 1
```